Record 1
# PBE Ac6Sm2Dy, optimized geometry
data_Ac6Sm2Dy
_chemical_formula_sum 'Ac24 Sm8 Dy4'
_space_group_name_H-M_alt 'C 1 2/c 1'
_space_group_IT_number 15
_space_group_name_Hall '-C 2yc'
_cell_length_a 23.3565
_cell_length_b 10.5923
_cell_length_c 6.1721
_cell_angle_alpha 90.00
_cell_angle_beta 105.27
_cell_angle_gamma 90.00
loop_
_atom_site_label
_atom_site_fract_x
_atom_site_fract_y
_atom_site_fract_z
Ac1 0.0832 0.0826 0.3214
Ac2 0.0831 0.4175 0.3476
Ac3 0.1684 0.2500 0.9193
Sm1 0.2500 0.0827 0.5048
Dy1 0.0000 0.2498 0.7500
# Density: 8.23 g cm⁻³
# Energy of formation from the pure elements: 104 meV per atom

Record 2
# PBE LaAsO4, optimized geometry
data_LaAsO4
_chemical_formula_sum 'La4 As4 O16'
_space_group_name_H-M_alt 'I 41/a'
_space_group_IT_number 88
_cell_length_a 5.2356
_cell_length_b 5.2356
_cell_length_c 11.9710
_cell_angle_alpha 90.00
_cell_angle_beta 90.00
_cell_angle_gamma 90.00
loop_
_space_group_symop_operation_xyz
'x,y,z'
'-x,-y,-z'
'-y+3/4,x+1/4,z+1/4'
'y+3/4,-x+1/4,-z+1/4'
'-x+1/2,-y,z+1/2'
'x+1/2,y,-z+1/2'
'y+3/4,-x+3/4,z+3/4'
'-y+3/4,x+3/4,-z+3/4'
'x+1/2,y+1/2,z+1/2'
'-x+1/2,-y+1/2,-z+1/2'
'-y+1/4,x+3/4,z+3/4'
'y+1/4,-x+3/4,-z+3/4'
'-x,-y+1/2,z'
'x,y+1/2,-z'
'y+1/4,-x+1/4,z+1/4'
'-y+1/4,x+1/4,-z+1/4'
loop_
_atom_site_label
_atom_site_fract_x
_atom_site_fract_y
_atom_site_fract_z
La1 0.0000 0.2500 0.1250
As1 0.0000 0.2500 0.6250
O1 0.1332 0.4960 0.7018
# Density: 5.62 g cm⁻³
# ΔE_f (raw): -2.3609 eV/atom